# 1
This record from Alexandria via LeMat-Bulk describes InMoPt2 after structural relaxation. The functional is PBEsol.

**Total magnetic moment**: 0.001 μB per atom
**Crystal system**: tetragonal
**Energy relative to the elements**: -0.11 eV per formula unit
**ρ**: 15.52 g/cm³
**Energy**: -7.197 eV/atom

abc: 3.940 3.940 4.141
angles: 90.00 90.00 90.00
Space group P4/mmm (No. 123)
Asymmetric unit:
In (0.000, 0.000, 0.000)
Mo (0.500, 0.500, 0.000)
Pt (0.000, 0.500, 0.500)

# 2
This record from Alexandria via LeMat-Bulk describes ErB2Ru3 after structural relaxation. The functional is PBEsol.

**Total magnetic moment**: 0.000 μB per atom
**Crystal system**: hexagonal
**Energy relative to the elements**: -2.96 eV per formula unit
**ρ**: 10.71 g/cm³
**Energy**: -8.739 eV/atom

abc: 5.4312 5.4312 2.9873
angles: 90.00 90.00 120.00
Space group P6/mmm (No. 191)
Asymmetric unit:
Er (0.0000, 0.0000, 0.0000)
B (0.3333, 0.6667, 0.0000)
Ru (0.0000, 0.5000, 0.5000)

# 3
This record from Alexandria via LeMat-Bulk describes RbSc2TiTc after structural relaxation. The functional is PBEsol.

**Total magnetic moment**: 0.001 μB per atom
**Crystal system**: tetragonal
**Energy relative to the elements**: 4.76 eV per formula unit
**ρ**: 4.14 g/cm³
**Energy**: -5.812 eV/atom

abc: 5.403 5.403 4.419
angles: 90.00 90.00 90.00
Space group P4/mmm (No. 123)
Asymmetric unit:
Rb (0.000, 0.000, 0.000)
Sc (0.000, 0.500, 0.500)
Ti (0.500, 0.500, 0.500)
Tc (0.500, 0.500, 0.000)

# 4
This record from Alexandria via LeMat-Bulk describes RbAlZn2Tc after structural relaxation. The functional is PBEsol.

**Total magnetic moment**: 0.537 μB per atom
**Crystal system**: tetragonal
**Energy relative to the elements**: 11.22 eV per formula unit
**ρ**: 3.91 g/cm³
**Energy**: -1.665 eV/atom

abc: 5.358 5.358 5.052
angles: 90.00 90.00 90.00
Space group P4/mmm (No. 123)
Asymmetric unit:
Rb (0.000, 0.000, 0.000)
Al (0.500, 0.500, 0.500)
Zn (0.000, 0.500, 0.000)
Tc (0.000, 0.000, 0.500)

# 5
This record from Alexandria via LeMat-Bulk describes CdH2Pd2 after structural relaxation. The functional is PBEsol.

**Total magnetic moment**: 0.000 μB per atom
**Crystal system**: tetragonal
**ρ**: 10.08 g/cm³
**Energy**: -4.177 eV/atom

abc: 3.259 3.259 10.152
angles: 90.00 90.00 90.00
Space group I4/mmm (No. 139)
Asymmetric unit:
Cd (0.000, 0.000, 0.000)
H (0.000, 0.500, 0.250)
Pd (0.000, 0.000, 0.342)

# 6
This record from Alexandria via LeMat-Bulk describes CaCdAsBr2 after structural relaxation. The functional is PBEsol.

**Total magnetic moment**: 0.304 μB per atom
**Crystal system**: tetragonal
**Formation energy without anion corrections**: -1.7 eV/f.u.
**ρ**: 3.76 g/cm³
**Energy**: -2.782 eV/atom

abc: 5.368 5.368 5.930
angles: 90.00 90.00 90.00
Space group P4/mmm (No. 123)
Asymmetric unit:
Ca (0.000, 0.000, 0.000)
Cd (0.500, 0.500, 0.500)
As (0.000, 0.000, 0.500)
Br (0.000, 0.500, 0.000)

# 7
This record from Alexandria via LeMat-Bulk describes ZrTaS2Cl after structural relaxation. The functional is PBEsol.

**Total magnetic moment**: 0.686 μB per atom
**Crystal system**: tetragonal
**Formation energy without anion corrections**: 0.7 eV/f.u.
**ρ**: 5.40 g/cm³
**Energy**: -6.337 eV/atom

abc: 4.914 4.914 4.730
angles: 90.00 90.00 90.00
Space group P4/mmm (No. 123)
Asymmetric unit:
Zr (0.000, 0.000, 0.000)
Ta (0.500, 0.500, 0.500)
S (0.000, 0.500, 0.000)
Cl (0.000, 0.000, 0.500)

# 8
This record from Alexandria via LeMat-Bulk describes Li3Ga7 after structural relaxation. The functional is PBEsol.

**Total magnetic moment**: 0.000 μB per atom
**Crystal system**: trigonal
**Energy relative to the elements**: -2.32 eV per formula unit
**ρ**: 4.86 g/cm³
**Energy**: -3.160 eV/atom

abc: 8.4031 8.4031 17.0612
angles: 90.00 90.00 120.00
Space group R-3m (No. 166, hexagonal axes)
Asymmetric unit:
Li (0.0681, 0.5340, 0.4127)
Ga (0.0000, 0.0000, 0.0763)
Ga (0.0159, 0.5079, 0.8032)
Ga (0.1056, 0.2112, 0.3855)

# 9
This record from Alexandria via LeMat-Bulk describes ScAg2Au after structural relaxation. The functional is PBEsol.

**Relative energy among the computed polymorphs**: 1.6 kJ per mole of atoms
**Total magnetic moment**: 0.000 μB per atom
**Crystal system**: cubic
**Energy relative to the elements**: -1.57 eV per formula unit
**ρ**: 10.83 g/cm³
**Energy**: -4.680 eV/atom

abc: 6.547 6.547 6.547
angles: 90.00 90.00 90.00
Space group F-43m (No. 216)
Asymmetric unit:
Sc (0.000, 0.000, 0.000)
Ag (0.000, 0.000, 0.500)
Ag (0.250, 0.250, 0.250)
Au (0.250, 0.250, 0.750)

# 10
This record from Alexandria via LeMat-Bulk describes LiTaBi3 after structural relaxation. The functional is PBEsol.

**Total magnetic moment**: 0.408 μB per atom
**Crystal system**: cubic
**Energy relative to the elements**: 4.57 eV per formula unit
**ρ**: 10.87 g/cm³
**Energy**: -4.561 eV/atom

abc: 4.992 4.992 4.992
angles: 90.00 90.00 90.00
Space group Pm-3m (No. 221)
Asymmetric unit:
Li (0.000, 0.000, 0.000)
Ta (0.500, 0.500, 0.500)
Bi (0.000, 0.000, 0.500)

# 11
This record from Alexandria via LeMat-Bulk describes CdRuS2N after structural relaxation. The functional is PBEsol.

**Relative energy among the computed polymorphs**: 0.0 kJ per mole of atoms
**Total magnetic moment**: 0.000 μB per atom
**Crystal system**: tetragonal
**Formation energy without anion corrections**: 1.0 eV/f.u.
**ρ**: 5.81 g/cm³
**Energy**: -5.527 eV/atom

abc: 4.807 4.807 3.608
angles: 90.00 90.00 90.00
Space group P4/mmm (No. 123)
Asymmetric unit:
Cd (0.000, 0.000, 0.000)
Ru (0.500, 0.500, 0.500)
S (0.000, 0.500, 0.500)
N (0.500, 0.500, 0.000)

# 12
This record from Alexandria via LeMat-Bulk describes ZnAu2F8 after structural relaxation. The functional is PBEsol.

**Total magnetic moment**: 0.000 μB per atom
**Crystal system**: monoclinic
**Formation energy without anion corrections**: -15.2 eV/f.u.
**ρ**: 6.54 g/cm³
**Energy**: -3.637 eV/atom

abc: 5.520 5.480 10.907
angles: 90.00 109.70 90.00
Space group P2_1/c (No. 14)
Asymmetric unit:
Zn (0.000, 0.000, 0.000)
Au (0.363, 0.218, 0.331)
F (0.061, 0.124, 0.185)
F (0.160, 0.207, 0.448)
F (0.332, 0.690, 0.524)
F (0.438, 0.720, 0.283)